The following is a PBE calculation of crystalline MnSi2Te at its relaxed geometry, from Alexandria.

Unit cell a=3.974 b=3.974 c=4.752 alpha=90.00 beta=90.00 gamma=98.23
Element x y z (fractional)
Mn 0.000 0.000 0.000
Si 0.199 0.801 0.500
Si 0.801 0.199 0.500
Te 0.500 0.500 0.000

Output
Magnetization (μB per cell): 3.36
E (eV per atom): -5.4813
ΔE_f (raw) (eV per formula unit): 1.2